[1]
The following is a DFT calculation (GGA-PBE) of a relaxed KNa2RuF8 crystal.

Calculated values
Volume, Å³ per cell: 193.0
Energy relative to the elements, uncorrected, kJ/mol of formula units: -2578

a = 4.8361 Å, b = 5.2187 Å, c = 7.6501 Å
α = 89.97°, β = 89.98°, γ = 91.42°
Last column: nearest neighbours and their distance in Å.
Fractional coordinates of all 12 atoms:
K 0.0000 0.0000 0.5000  6 F 2.59-2.79
Na 0.4999 0.4999 0.7391  4 F 2.23-2.37
Na 0.5001 0.5001 0.2609  4 F 2.23-2.37
Ru 0.0000 0.0000 0.0000  6 F 1.92
F 0.1497 0.7875 0.1799  1 Ru 1.92
F 0.6825 0.7720 0.0000  1 Ru 1.92
F 0.8499 0.2122 0.1799  1 Ru 1.92
F 0.8503 0.2125 0.8201  1 Ru 1.92
F 0.3175 0.2280 0.0000  1 Ru 1.92
F 0.1501 0.7878 0.8201  1 Ru 1.92
F 0.5353 0.7437 0.5000  2 Na 2.23
F 0.4647 0.2563 0.5000  2 Na 2.23



[2]
The following is a DFT calculation (GGA-PBE) of a relaxed YMoBr2N crystal.

Calculated values
Volume, Å³ per cell: 137.4
Energy relative to the elements, uncorrected, kJ/mol of formula units: 176

a = 5.7357 Å, b = 4.1766 Å, c = 5.7357 Å
α = 90.00°, β = 90.00°, γ = 90.00°
Last column: nearest neighbours and their distance in Å.
Fractional coordinates of all 5 atoms:
Y 0.0000 0.0000 0.0000  2 N 2.09
Mo 0.5000 0.5000 0.5000  8 Br 3.55
Br 0.0000 0.0000 0.5000  2 Y 2.87
Br 0.5000 0.0000 0.0000  2 Y 2.87
N 0.0000 0.5000 0.0000  2 Y 2.09



[3]
The following is a DFT calculation (GGA-PBE) of a relaxed Ac5Rh2Au crystal.

Calculated values
Volume, Å³ per cell: 506.2
Energy of formation, kJ/mol of formula units: -443.2

a = 8.3045 Å, b = 8.3105 Å, c = 9.4410 Å
α = 116.75°, β = 116.12°, γ = 90.00°
Last column: nearest neighbours and their distance in Å.
Fractional coordinates of all 16 atoms:
Ac 0.5265 0.6997 0.7292  3 Rh 3.08-3.20
Ac 0.8000 0.9742 0.2716  3 Rh 3.05-3.22
Ac 0.0000 0.0000 0.0000  4 Rh 3.21-3.22
Ac 0.5000 0.5000 0.0000  4 Rh 3.21-3.22
Ac 0.2000 0.0258 0.7284  3 Rh 3.05-3.22
Ac 0.7024 0.1998 0.7292  3 Rh 3.08-3.20
Ac 0.0281 0.5258 0.7284  3 Rh 3.05-3.22
Ac 0.2976 0.8002 0.2708  3 Rh 3.08-3.20
Ac 0.9719 0.4742 0.2716  3 Rh 3.05-3.22
Ac 0.4735 0.3003 0.2708  3 Rh 3.08-3.20
Rh 0.1383 0.3613 0.9992  8 Ac 3.05-3.22, 1 Rh 3.25
Rh 0.6392 0.1389 0.0010  8 Ac 3.05-3.22, 1 Rh 3.25
Rh 0.3608 0.8611 0.9990  8 Ac 3.05-3.22, 1 Rh 3.25
Rh 0.8617 0.6387 0.0008  8 Ac 3.05-3.22, 1 Rh 3.25
Au 0.7494 0.7501 0.4999  10 Ac 3.50-3.67
Au 0.2506 0.2499 0.5001  10 Ac 3.50-3.67



| no. | spin magnetization (μB/f.u.) |
| --- | --- |
| 1 | 3.00 |
| 2 | 4.54 |
| 3 | 0.00 |